Material: CsNa2S2
Method: DFT, PBE-GGA
State: optimized geometry

Output
- Uncorrected formation energy: -828 meV per atom
- Final energy: -3.18 eV per atom
- Offset from the most stable computed form: 0.00 eV/f.u.
- Crystal system: tetragonal

Cell and atoms, written as POSCAR:
```
CsNa2S2
1.0
-4.0901 2.1833 1.3725
0.3346 -2.1023 4.3414
1.2904 4.7080 4.8731
Na S Cs
2 2 1
direct
0.2500 0.7500 0.5000
0.7500 0.2500 0.5000
0.3705 0.3705 0.2591
0.6295 0.6295 0.7409
0.0000 0.0000 0.0000
```